(1)
The following is a DFT calculation (PBE) of a relaxed structure of La2NdCoAu.

Structure (POSCAR):
```
La2NdCoAu
1.0
5.2070 0.0000 0.0000
0.0000 5.2070 0.0000
0.0000 0.0000 5.5352
La Nd Co Au
2 1 1 1
Direct
0.0000 0.5000 0.0000
0.5000 0.0000 0.0000
0.0000 0.0000 0.5254
0.0000 0.0000 0.0354
0.5000 0.5000 0.6330
```

Calculated values
Crystal system: tetragonal
ΔH_f (0 K) (meV per atom): -202
Space group: P4mm (99)



(2)
The following is a DFT calculation (PBE) of a relaxed structure of Ge2AsS.

Structure (POSCAR):
```
Ge2AsS
1.0
6.3903 -1.8863 0.0000
6.3903 1.8863 0.0000
-0.0057 0.0000 3.7429
Ge As S
2 1 1
Direct
0.0000 0.0000 0.0000
0.2237 0.2237 0.5011
0.5873 0.5873 0.5005
0.3451 0.3451 0.0018
```

Calculated values
Formation energy without anion corrections (kJ per mole of atoms): 9
Crystal system: monoclinic
Space group: Cm (8)



(3)
The following is a DFT calculation (PBE) of a relaxed structure of Sr3CaLa.

Structure (POSCAR):
```
Sr3CaLa
1.0
6.2320 0.0000 0.0000
0.0000 6.2320 0.0000
0.0000 0.0000 6.2320
Sr Ca La
3 1 1
Direct
0.0000 0.0000 0.5000
0.0000 0.5000 0.0000
0.5000 0.0000 0.0000
0.0000 0.0000 0.0000
0.5000 0.5000 0.5000
```

Calculated values
Crystal system: cubic
ΔH_f (0 K) (meV per atom): 734
Space group: Pm-3m (221)



(4)
The following is a DFT calculation (PBE) of a relaxed structure of Ac2Al4Si3Pd.

Structure (POSCAR):
```
Ac2Al4Si3Pd
1.0
4.5578 0.0000 0.0000
0.0000 4.5578 0.0000
0.0000 0.0000 10.0516
Ac Al Si Pd
2 4 3 1
Direct
0.0000 0.5000 0.2444
0.5000 0.0000 0.7556
0.0000 0.0000 0.5000
0.0000 0.5000 0.8817
0.5000 0.0000 0.1183
0.5000 0.5000 0.5000
0.0000 0.0000 0.0000
0.0000 0.5000 0.6235
0.5000 0.0000 0.3765
0.5000 0.5000 0.0000
```

Calculated values
Formation energy without anion corrections (kJ per mole of atoms): -44
Crystal system: tetragonal
Space group: P-4m2 (115)



(5)
The following is a DFT calculation (PBE) of a relaxed structure of NaCd2SbF8.

Structure (POSCAR):
```
NaCd2SbF8
1.0
3.9603 0.0000 0.0000
0.0000 5.5247 0.0000
0.0000 0.0000 7.7326
Na Cd Sb F
1 2 1 8
Direct
0.0000 0.0000 0.0000
0.5000 0.5000 0.2327
0.5000 0.5000 0.7673
0.0000 0.0000 0.5000
0.0000 0.2537 0.2696
0.0000 0.2537 0.7304
0.0000 0.7463 0.2696
0.0000 0.7463 0.7304
0.5000 0.2427 0.5000
0.5000 0.2537 0.0000
0.5000 0.7463 0.0000
0.5000 0.7573 0.5000
```

Calculated values
Formation energy without anion corrections (kJ per mole of atoms): -224
Crystal system: orthorhombic
Space group: Pmmm (47)



(6)
The following is a DFT calculation (PBE) of a relaxed structure of TlCr2Pt.

Structure (POSCAR):
```
TlCr2Pt
1.0
4.6187 -1.4470 0.0000
4.6187 1.4470 0.0000
-1.5205 0.0000 5.1400
Tl Cr Pt
1 2 1
Direct
0.0000 0.0000 0.0000
0.2461 0.2461 0.6514
0.7539 0.7539 0.3486
0.5000 0.5000 0.5000
```

Calculated values
Crystal system: monoclinic
ΔH_f (0 K) (meV per atom): 405
Space group: C2/m (12)



Respective total moment values: 0.000 0.000 0.518 0.000 0.000 0.000 μB per atom.